# Pm2Y6HoTm PBE-GGA optimized geometry
# Calculated formation energy   0.112 eV per atom
data_Pm2Y6HoTm
_space_group_name_H-M_alt 'C 1 2/c 1'
_space_group_IT_number 15
_cell_length_a 9.070
_cell_length_b 15.029
_cell_length_c 9.730
_cell_angle_alpha 90.00
_cell_angle_beta 99.45
_cell_angle_gamma 90.00
loop_
_space_group_symop_operation_xyz
'x,y,z'
'-x,-y,-z'
'-x,y,-z+1/2'
'x,-y,z+1/2'
'x+1/2,y+1/2,z'
'-x+1/2,-y+1/2,-z'
'-x+1/2,y+1/2,-z+1/2'
'x+1/2,-y+1/2,z+1/2'
loop_
_atom_site_label
_atom_site_fract_x
_atom_site_fract_y
_atom_site_fract_z
_atom_site_occupancy
Pm1 0.245 0.050 0.045 1
Y1 0.064 0.188 0.443 1
Y2 0.102 0.395 0.618 1
Y3 0.204 0.222 0.813 1
Ho1 0.000 0.019 0.750 1
Tm1 0.000 0.407 0.250 1

---

# ErLuMgSn PBE-GGA optimized geometry
# Calculated formation energy   -0.344 eV per atom
data_ErLuMgSn
_space_group_name_H-M_alt 'F -4 3 m'
_space_group_IT_number 216
_space_group_name_Hall 'F -4 2 3'
_cell_length_a 7.399
_cell_length_b 7.399
_cell_length_c 7.399
_cell_angle_alpha 90.00
_cell_angle_beta 90.00
_cell_angle_gamma 90.00
loop_
_atom_site_label
_atom_site_fract_x
_atom_site_fract_y
_atom_site_fract_z
_atom_site_occupancy
Er1 0.000 0.000 0.000 1
Lu1 0.000 0.000 0.500 1
Mg1 0.250 0.250 0.750 1
Sn1 0.250 0.250 0.250 1

---

# CaCuGeO4 PBE-GGA optimized geometry
# Uncorrected formation energy   -1.614 eV per atom
data_CaCuGeO4
_space_group_name_H-M_alt 'P 1 21/m 1'
_space_group_IT_number 11
_cell_length_a 5.504
_cell_length_b 5.741
_cell_length_c 6.158
_cell_angle_alpha 90.00
_cell_angle_beta 105.24
_cell_angle_gamma 90.00
loop_
_space_group_symop_operation_xyz
'x,y,z'
'-x,-y,-z'
'-x,y+1/2,-z'
'x,-y+1/2,z'
loop_
_atom_site_label
_atom_site_fract_x
_atom_site_fract_y
_atom_site_fract_z
_atom_site_occupancy
Ca1 0.238 0.250 0.045 1
Cu1 0.216 0.250 0.533 1
Ge1 0.273 0.750 0.339 1
O1 0.053 0.515 0.270 1
O2 0.493 0.750 0.605 1
O3 0.499 0.250 0.821 1

---

# Cs3SrTe2O6 PBE-GGA optimized geometry
# Uncorrected formation energy   -1.585 eV per atom
data_Cs3SrTe2O6
_space_group_name_H-M_alt 'P -3 m 1'
_space_group_IT_number 164
_space_group_name_Hall '-P 3 2"'
_cell_length_a 6.4956
_cell_length_b 6.4956
_cell_length_c 7.9326
_cell_angle_alpha 90.00
_cell_angle_beta 90.00
_cell_angle_gamma 120.00
loop_
_atom_site_label
_atom_site_fract_x
_atom_site_fract_y
_atom_site_fract_z
_atom_site_occupancy
Cs1 0.0000 0.0000 0.0000 1
Cs2 0.3333 0.6667 0.6705 1
Sr1 0.0000 0.0000 0.5000 1
Te1 0.3333 0.6667 0.1967 1
O1 0.1843 0.3686 0.3132 1

---

no.,DOS at the Fermi energy (states/eV per cell),size of the total moment (μB per atom)
1,56.34,0.00
2,15.47,0.00
3,1.18,0.14
4,4.01,0.09